(1)
La2CePuBi4: relaxed, PBE.

The structure in POSCAR format:
```
La2CePuBi4
1.0
-2.8102 1.8093 3.2271
-6.1520 -0.3531 -5.1592
0.3921 -6.8543 4.1843
Bi La Pu Ce
4 2 1 1
Cartesian
-4.4972 -1.9142 -2.8430 Bi
-1.2627 -5.2932 1.8681 Bi
-2.8322 -0.8387 1.3482 Bi
-5.7379 -4.5594 0.9040 Bi
-1.2090 -2.5225 3.7057 La
-2.8799 -3.6037 -0.4875 La
-4.4811 0.7281 -0.9661 Pu
0.0000 0.0000 0.0000 Ce
```

* calculated density: 8.79 g cm⁻³
* E: -52.1 eV per formula unit
* space-group type: P2/m (10)
* N(E_F): 2.9212 states/eV/atom
* magnetic moment: 5.95 μB/cell
* ΔE_f: -804 meV/atom

=====

(2)
YTh2Sb2Te2: relaxed, PBE.

The structure in POSCAR format:
```
YTh2Sb2Te2
1.0
5.6891 0.0000 0.0000
0.0000 5.6891 0.0000
-2.8446 -2.8446 7.8557
Sb Y Th Te
2 1 2 2
Cartesian
2.8446 0.0000 0.0000 Sb
0.0000 2.8446 0.0000 Sb
0.0000 0.0000 0.0000 Y
2.8446 2.8446 1.7681 Th
0.0000 0.0000 6.0876 Th
2.8446 2.8446 4.8194 Te
0.0000 0.0000 3.0363 Te
```

* calculated density: 6.87 g cm⁻³
* E: -40.2 eV per formula unit
* space-group type: I4/mmm (139)
* N(E_F): 0.4351 states/eV/atom
* magnetic moment: 0.93 μB/cell
* formation energy (no corrections): -630.2 meV per atom

=====

(3)
LiBe2Se: relaxed, PBE.

The structure in POSCAR format:
```
LiBe2Se
1.0
6.0786 -0.0239 -0.0146
5.0715 3.3510 -0.0146
5.0715 1.5133 2.9899
Li Be Se
1 2 1
Cartesian
8.2401 2.4588 1.5040 Li
4.3876 1.3093 0.8008 Be
16.1750 4.8266 2.9522 Be
11.7511 3.5065 2.1448 Se
```

* calculated density: 2.80 g cm⁻³
* E: -12.3 eV per formula unit
* space-group type: R3m (160)
* N(E_F): 0.4448 states/eV/atom
* magnetic moment: 0.00 μB/cell
* formation energy (no corrections): 129.3 meV per atom

=====

(4)
ReTcHg: relaxed, PBE.

The structure in POSCAR format:
```
ReTcHg
1.0
5.1030 -0.0089 -0.0078
2.8621 4.2249 0.0078
-3.6796 -2.6804 2.3059
Re Tc Hg
1 1 1
Cartesian
2.5118 1.3295 0.0000 Re
5.4521 2.8858 0.0000 Tc
0.0011 0.0006 0.0000 Hg
```

* calculated density: 16.16 g cm⁻³
* E: -21.4 eV per formula unit
* space-group type: Imm2 (44)
* N(E_F): 0.9153 states/eV/atom
* magnetic moment: 0.00 μB/cell
* ΔE_f: 557 meV/atom